A plane-wave DFT calculation with PBE with a Hubbard U was carried out for a relaxed structure of CoCuNi2O4.

a = 5.863 Å, b = 5.863 Å, c = 6.154 Å
α = 118.57°, β = 118.57°, γ = 89.96°
Site moments in Bohr magnetons follow the coordinates.
Fractional coordinates of all 16 atoms:
Co: 0.000 0.500 0.000  2.74
Co: 0.000 0.500 0.500  2.74
Cu: 0.500 0.500 0.500  -0.52
Cu: 0.000 0.000 0.000  -0.52
Ni: 0.500 0.000 0.000  1.79
Ni: 0.500 0.000 0.500  1.79
Ni: 0.000 0.000 0.500  1.69
Ni: 0.500 0.500 0.000  1.69
O: 0.250 0.764 0.015  0.08
O: 0.736 0.250 0.485  0.08
O: 0.264 0.750 0.515  0.08
O: 0.750 0.236 0.985  0.08
O: 0.785 0.785 0.054  0.03
O: 0.715 0.715 0.446  0.03
O: 0.285 0.285 0.554  0.03
O: 0.215 0.215 0.946  0.03

Results
As for the density of states at the Fermi level: 0.02 states/eV per atom. Its total magnetic moment is 6.00 μB/f.u. The crystal system is monoclinic. The total energy is -82.184 eV per cell.